Entry from Alexandria via LeMat-Bulk: crystalline CsCeO2 at its relaxed geometry (PBE).

It has space group R3m (No. 160, hexagonal axes), with a = 3.6925 Å, b = 3.6925 Å, c = 21.2196 Å, α = 90.00°, β = 90.00° and γ = 120.00°. Symmetry generates all atoms from Cs at (0.0000, 0.0000, 0.0000), Ce at (0.0000, 0.0000, 0.1720), O at (0.0000, 0.0000, 0.5601) and O at (0.0000, 0.0000, 0.7863).

The value obtained for the density is 6.06 g cm⁻³. The energy relative to the elements, uncorrected is -238.94 kJ per mole of atoms.